The following is a DFT calculation (PBE) of a geometry-optimized CuSiCl2 structure.

E above lowest polymorph: 405 meV per atom
Uncorrected energy: -3.215 eV/atom
E_form (uncorrected): 0.09 eV/atom

Cell and atoms, written as POSCAR:
```
CuSiCl2
1.0
3.586 -3.588 0.000
3.586 3.588 0.000
-0.018 0.000 3.174
Cu Si Cl
1 1 2
direct
0.000 0.000 0.000
0.500 0.500 0.000
0.000 0.500 0.000
0.500 0.000 0.000
```

=====

The following is a DFT calculation (PBE) of a geometry-optimized NaCd2AgCl6 structure.

Uncorrected energy: -2.785 eV/atom
E_form (uncorrected): -1.08 eV/atom

Cell and atoms, written as POSCAR:
```
NaCd2AgCl6
1.0
6.630 -6.058 0.000
6.630 6.058 0.000
-1.260 0.000 6.991
Na Cd Ag Cl
2 4 2 12
direct
0.240 0.760 0.750
0.760 0.240 0.250
0.104 0.294 0.789
0.294 0.104 0.289
0.706 0.896 0.711
0.896 0.706 0.211
0.404 0.596 0.250
0.596 0.404 0.750
0.051 0.207 0.102
0.133 0.618 0.390
0.207 0.051 0.602
0.306 0.471 0.878
0.382 0.867 0.110
0.471 0.306 0.378
0.529 0.694 0.622
0.618 0.133 0.890
0.694 0.529 0.122
0.793 0.949 0.398
0.867 0.382 0.610
0.949 0.793 0.898
```

=====

The following is a DFT calculation (PBE) of a geometry-optimized CuSe2Cl structure.

E above lowest polymorph: 133 meV per atom
Uncorrected energy: -3.386 eV/atom
E_form (uncorrected): -0.16 eV/atom

Cell and atoms, written as POSCAR:
```
CuSe2Cl
1.0
3.439 0.000 0.000
1.718 5.137 0.000
1.711 -0.351 6.663
Cu Se Cl
1 2 1
direct
0.000 0.000 0.000
0.399 0.521 0.685
0.573 0.098 0.756
0.439 0.913 0.210
```

=====

The following is a DFT calculation (PBE) of a geometry-optimized Sm2ZnTe structure.

E above lowest polymorph: 85 meV per atom
Uncorrected energy: -4.203 eV/atom
E_form (uncorrected): -0.74 eV/atom

Cell and atoms, written as POSCAR:
```
Sm2ZnTe
1.0
2.075 1.198 7.884
-2.075 1.198 7.884
0.000 -2.396 7.884
Sm Zn Te
2 1 1
direct
0.000 0.000 0.000
0.177 0.177 0.177
0.587 0.587 0.587
0.756 0.756 0.756
```

=====

The following is a DFT calculation (PBE) of a geometry-optimized Dy3Te2Pt structure.

E above lowest polymorph: 0 meV per atom
Uncorrected energy: -5.656 eV/atom
E_form (uncorrected): -1.30 eV/atom

Cell and atoms, written as POSCAR:
```
Dy3Te2Pt
1.0
0.000 6.097 12.679
4.382 0.000 12.679
4.382 6.097 0.000
Dy Te Pt
12 8 4
direct
0.036 0.534 0.183
0.091 0.659 0.659
0.183 0.747 0.036
0.253 0.817 0.466
0.341 0.909 0.909
0.466 0.964 0.253
0.534 0.036 0.747
0.659 0.091 0.091
0.747 0.183 0.534
0.817 0.253 0.964
0.909 0.341 0.341
0.964 0.466 0.817
0.130 0.130 0.620
0.296 0.296 0.454
0.380 0.380 0.870
0.454 0.454 0.296
0.546 0.546 0.704
0.620 0.620 0.130
0.704 0.704 0.546
0.870 0.870 0.380
0.041 0.041 0.209
0.209 0.209 0.041
0.791 0.791 0.959
0.959 0.959 0.791
```

=====

The following is a DFT calculation (PBE) of a geometry-optimized TaGeSe3 structure.

E above lowest polymorph: 0 meV per atom
Uncorrected energy: -5.917 eV/atom
E_form (uncorrected): -0.53 eV/atom

Cell and atoms, written as POSCAR:
```
TaGeSe3
1.0
15.213 0.000 0.000
0.000 3.563 0.000
0.000 0.000 10.508
Ta Ge Se
4 4 12
direct
0.059 0.250 0.099
0.441 0.750 0.599
0.559 0.250 0.401
0.941 0.750 0.901
0.196 0.750 0.332
0.304 0.250 0.832
0.696 0.750 0.168
0.804 0.250 0.668
0.063 0.250 0.854
0.080 0.250 0.355
0.187 0.750 0.087
0.313 0.250 0.587
0.420 0.750 0.855
0.437 0.750 0.354
0.563 0.250 0.646
0.580 0.250 0.145
0.687 0.750 0.413
0.813 0.250 0.913
0.920 0.750 0.645
0.937 0.750 0.146
```

=====

The following is a DFT calculation (PBE) of a geometry-optimized LiTa2In structure.

Energy of formation: 0.253 eV/atom
Uncorrected energy: -6.836 eV/atom

Cell and atoms, written as POSCAR:
```
LiTa2In
1.0
1.478 0.853 10.084
-1.478 0.853 10.084
0.000 -1.707 10.084
Li Ta In
1 2 1
direct
0.000 0.000 0.000
0.249 0.249 0.249
0.499 0.499 0.499
0.747 0.747 0.747
```

=====

The following is a DFT calculation (PBE) of a geometry-optimized La2ScPb2 structure.

Energy of formation: -0.175 eV/atom
E above lowest polymorph: 359 meV per atom
Uncorrected energy: -4.896 eV/atom

Cell and atoms, written as POSCAR:
```
La2ScPb2
1.0
9.223 0.000 0.000
0.000 9.223 0.000
0.000 0.000 3.792
La Sc Pb
4 2 4
direct
0.122 0.378 0.000
0.378 0.878 0.000
0.622 0.122 0.000
0.878 0.622 0.000
0.000 0.000 0.000
0.500 0.500 0.000
0.179 0.679 0.500
0.321 0.179 0.500
0.679 0.821 0.500
0.821 0.321 0.500
```

=====

The following is a DFT calculation (PBE) of a geometry-optimized In2ReBr structure.

E above lowest polymorph: 604 meV per atom
Uncorrected energy: -3.975 eV/atom
E_form (uncorrected): 0.92 eV/atom

Cell and atoms, written as POSCAR:
```
In2ReBr
1.0
-2.166 2.166 4.407
2.166 -2.166 4.407
2.166 2.166 -4.407
In Re Br
2 1 1
direct
0.250 0.750 0.500
0.750 0.250 0.500
0.000 0.000 0.000
0.500 0.500 0.000
```

=====

The following is a DFT calculation (PBE) of a geometry-optimized Sm2EuTh structure.

Energy of formation: 0.122 eV/atom
E above lowest polymorph: 0 meV per atom
Uncorrected energy: -6.661 eV/atom

Cell and atoms, written as POSCAR:
```
Sm2EuTh
1.0
1.799 1.039 12.595
-1.799 1.039 12.595
0.000 -2.077 12.595
Sm Eu Th
2 1 1
direct
0.092 0.092 0.092
0.908 0.908 0.908
0.000 0.000 0.000
0.500 0.500 0.500
```

=====

The following is a DFT calculation (PBE) of a geometry-optimized Tb3DySc4 structure.

Energy of formation: 0.033 eV/atom
Uncorrected energy: -5.444 eV/atom

Cell and atoms, written as POSCAR:
```
Tb3DySc4
1.0
10.804 0.000 0.000
0.000 6.961 0.000
0.000 0.000 6.016
Tb Dy Sc
6 2 8
direct
0.000 0.134 0.000
0.250 0.134 0.343
0.250 0.866 0.843
0.500 0.866 0.500
0.750 0.134 0.343
0.750 0.866 0.843
0.000 0.866 0.500
0.500 0.134 0.000
0.000 0.384 0.508
0.000 0.616 0.008
0.250 0.384 0.835
0.250 0.616 0.335
0.500 0.384 0.508
0.500 0.616 0.008
0.750 0.384 0.835
0.750 0.616 0.335
```

=====

- uncorrected energy of number 9 (In2ReBr)?
  -3.975 eV/atom

=====

- Which value of uncorrected energy does entry 1 give?
  -3.215 eV/atom

=====

- The lowest uncorrected energy belongs to which entry?
  LiTa2In